Entry 1:
# MgZnGaW2

An optimized crystal structure of MgZnGaW2 (GGA-PBEsol, Alexandria via LeMat-Bulk).

a b c (Å): 4.651 4.651 4.349
angles (deg): 90.00 90.00 90.00
Sites, in units of the cell vectors:
Mg1 0.000 0.000 0.000
Zn1 0.500 0.500 0.500
Ga1 0.500 0.500 0.000
W1 0.000 0.500 0.500
W2 0.500 0.000 0.500

Total magnetization ... 0.0 μB/f.u.
Symmetry ... P4/mmm
Formation energy ... 1591 meV/atom

=====

Entry 2:
# YMgGa

An optimized crystal structure of YMgGa (GGA-PBEsol, Alexandria via LeMat-Bulk).

a b c (Å): 7.202 7.202 4.384
angles (deg): 90.00 90.00 120.00
Sites, in units of the cell vectors:
Y1 0.000 0.574 0.000
Y2 0.426 0.426 0.000
Y3 0.574 0.000 0.000
Mg1 0.000 0.244 0.500
Mg2 0.244 0.000 0.500
Mg3 0.756 0.756 0.500
Ga1 0.000 0.000 0.000
Ga2 0.333 0.667 0.500
Ga3 0.667 0.333 0.500

Total magnetization ... 0.0 μB/f.u.
Symmetry ... P-62m
Formation energy ... -539 meV/atom

=====

Entry 3:
# MgZn2Ga2

An optimized crystal structure of MgZn2Ga2 (GGA-PBEsol, Alexandria via LeMat-Bulk).

a b c (Å): 6.295 6.295 6.295
angles (deg): 143.74 143.74 52.22
Sites, in units of the cell vectors:
Mg1 0.000 0.000 0.000
Zn1 0.250 0.750 0.500
Zn2 0.750 0.250 0.500
Ga1 0.393 0.393 0.000
Ga2 0.607 0.607 0.000

Total magnetization ... 0.0 μB/f.u.
Symmetry ... I4/mmm
Formation energy ... -57 meV/atom

=====

Entry 4:
# MgZn2Ga2

An optimized crystal structure of MgZn2Ga2 (GGA-PBEsol, Alexandria via LeMat-Bulk).

a b c (Å): 7.206 7.206 3.344
angles (deg): 90.00 90.00 90.00
Sites, in units of the cell vectors:
Mg1 0.000 0.000 0.000
Mg2 0.500 0.500 0.000
Zn1 0.123 0.377 0.000
Zn2 0.377 0.877 0.000
Zn3 0.623 0.123 0.000
Zn4 0.877 0.623 0.000
Ga1 0.178 0.678 0.500
Ga2 0.322 0.178 0.500
Ga3 0.678 0.822 0.500
Ga4 0.822 0.322 0.500

Total magnetization ... 0.0 μB/f.u.
Symmetry ... P4/mbm
Formation energy ... 4 meV/atom

=====

Entry 5:
# Mn3Ga

An optimized crystal structure of Mn3Ga (GGA-PBEsol, Alexandria via LeMat-Bulk).

a b c (Å): 4.274 4.274 4.274
angles (deg): 128.76 128.76 75.40
Sites, in units of the cell vectors:
Mn1 0.000 0.000 0.000
Mn2 0.250 0.750 0.500
Mn3 0.750 0.250 0.500
Ga1 0.500 0.500 0.000

Total magnetization ... 4.6 μB/f.u.
Symmetry ... I4/mmm
Formation energy ... 34 meV/atom

=====

Entry 6:
# Mn2NbGaTe

An optimized crystal structure of Mn2NbGaTe (GGA-PBEsol, Alexandria via LeMat-Bulk).

a b c (Å): 4.660 4.660 5.031
angles (deg): 90.00 90.00 90.00
Sites, in units of the cell vectors:
Mn1 0.000 0.500 0.000
Mn2 0.500 0.000 0.000
Nb1 0.000 0.000 0.000
Ga1 0.000 0.000 0.500
Te1 0.500 0.500 0.500

Total magnetization ... 5.1 μB/f.u.
Symmetry ... P4/mmm
Raw formation energy ... 1097 meV/atom

=====

Entry 7:
# MnGaNi2

An optimized crystal structure of MnGaNi2 (GGA-PBEsol, Alexandria via LeMat-Bulk).

a b c (Å): 4.250 4.250 4.250
angles (deg): 128.01 128.01 76.61
Sites, in units of the cell vectors:
Mn1 0.000 0.000 0.000
Ga1 0.500 0.500 0.000
Ni1 0.250 0.750 0.500
Ni2 0.750 0.250 0.500

Total magnetization ... 4.0 μB/f.u.
Symmetry ... I4/mmm
Formation energy ... -276 meV/atom

=====

Entry 8:
# SrMnGaNi2

An optimized crystal structure of SrMnGaNi2 (GGA-PBEsol, Alexandria via LeMat-Bulk).

a b c (Å): 4.444 4.444 5.374
angles (deg): 90.00 90.00 90.00
Sites, in units of the cell vectors:
Sr1 0.000 0.000 0.000
Mn1 0.500 0.500 0.000
Ga1 0.000 0.000 0.500
Ni1 0.000 0.500 0.500
Ni2 0.500 0.000 0.500

Total magnetization ... 3.7 μB/f.u.
Symmetry ... P4/mmm
Formation energy ... 941 meV/atom

=====

| no. | volume (Å³/cell) |
| --- | --- |
| 1 | 94.07 |
| 2 | 196.96 |
| 3 | 86.76 |
| 4 | 173.62 |
| 5 | 46.19 |
| 6 | 109.25 |
| 7 | 46.30 |
| 8 | 106.16 |